No. 1
A plane-wave DFT calculation with PBE was carried out for a relaxed structure of YBeFe2Rh.

Cell: 4.5085 4.1683 4.5085 Å, 90.00 90.00 90.00°
Fractional positions:
Y  0.5000  0.5000  0.5000
Be  0.0000  0.5000  0.0000
Rh  0.0000  0.0000  0.0000
Fe  0.0000  0.0000  0.5000
Fe  0.5000  0.0000  0.0000

Calculated values
SG: P4/mmm
E (eV per atom): -6.267
Formation enthalpy at 0 K (eV per atom): 0.63

=====

No. 2
A plane-wave DFT calculation with PBE was carried out for a relaxed structure of Ac2ErBi3.

Cell: 8.2177 8.2177 8.2067 Å, 99.65 99.65 120.01°
Fractional positions:
Ac  0.8333  0.1667  0.5000
Ac  0.3333  0.6667  0.0000
Ac  0.1712  0.8288  0.5000
Ac  0.4954  0.5046  0.5000
Er  0.0019  0.9981  0.0000
Er  0.6647  0.3353  0.0000
Bi  0.6048  0.9382  0.7707
Bi  0.0618  0.3952  0.2293
Bi  0.9077  0.5880  0.7651
Bi  0.2547  0.2411  0.7651
Bi  0.4120  0.0923  0.2349
Bi  0.7589  0.7453  0.2349

Calculated values
SG: C2/m
E (eV per atom): -4.981
Formation enthalpy at 0 K (eV per atom): -0.91

=====

No. 3
A plane-wave DFT calculation with PBE was carried out for a relaxed structure of Li2Pm2HoGe2.

Cell: 4.4287 4.4287 9.8709 Å, 77.04 77.04 60.00°
Fractional positions:
Li  0.6105  0.6105  0.1685
Li  0.3895  0.3895  0.8315
Pm  0.1231  0.1231  0.6307
Pm  0.8769  0.8769  0.3693
Ho  0.0000  0.0000  0.0000
Ge  0.7286  0.7286  0.8143
Ge  0.2714  0.2714  0.1857

Calculated values
SG: R-3m
E (eV per atom): -4.364
Formation enthalpy at 0 K (eV per atom): -0.49

=====

No. 4
A plane-wave DFT calculation with PBE was carried out for a relaxed structure of BaSr2BeTe.

Cell: 6.4364 5.0906 6.4364 Å, 90.00 90.00 90.00°
Fractional positions:
Sr  0.0000  0.0000  0.5000
Sr  0.5000  0.0000  0.0000
Te  0.0000  0.0000  0.0000
Ba  0.5000  0.5000  0.5000
Be  0.0000  0.5000  0.0000

Calculated values
SG: P4/mmm
E (eV per atom): -2.341
Energy relative to the elements, uncorrected (meV/atom): 90

=====

No. 5
A plane-wave DFT calculation with PBE was carried out for a relaxed structure of BeNbH.

Cell: 3.4841 5.0246 3.5054 Å, 90.81 89.87 110.19°
Fractional positions:
Be  0.3838  0.4867  0.0197
Be  0.2450  0.2194  0.5064
Nb  0.9829  0.6573  0.5114
Nb  0.6779  0.0466  0.0185
H  0.0757  0.8462  0.0173
H  0.6126  0.3484  0.7559

Calculated values
SG: P1
Polymorph energy (0 for the lowest one) (eV/atom): 0.107
E (eV per atom): -5.955

=====

No. 6
A plane-wave DFT calculation with PBE was carried out for a relaxed structure of Pm6Si2HBr3.

Cell: 7.0749 7.0749 7.6786 Å, 99.06 99.06 119.94°
Fractional positions:
Pm  0.9326  0.6099  0.7951
Pm  0.7415  0.7415  0.2191
Pm  0.0674  0.3901  0.2049
Pm  0.6099  0.9326  0.7951
Pm  0.2585  0.2585  0.7809
Pm  0.3901  0.0674  0.2049
Si  0.3350  0.6650  0.0000
Si  0.6650  0.3350  0.0000
H  0.0000  0.0000  0.0000
Br  0.1809  0.8191  0.5000
Br  0.8191  0.1809  0.5000
Br  0.5000  0.5000  0.5000

Calculated values
SG: C2/m
E (eV per atom): -4.889

=====

No. 7
A plane-wave DFT calculation with PBE was carried out for a relaxed structure of Ba2Ag.

Cell: 16.1188 16.1188 16.1188 Å, 165.28 165.28 20.88°
Fractional positions:
Ba  0.5622  0.5622  0.0000
Ba  0.6878  0.1878  0.5000
Ba  0.4378  0.4378  0.0000
Ba  0.8122  0.3122  0.5000
Ag  0.0000  0.0000  0.0000
Ag  0.2500  0.7500  0.5000

Calculated values
SG: I4_1/amd
Polymorph energy (0 for the lowest one) (eV/atom): 0.055
E (eV per atom): -2.355
Formation enthalpy at 0 K (eV per atom): -0.12

=====

No. 8
A plane-wave DFT calculation with PBE was carried out for a relaxed structure of Mg5Cd5In2.

Cell: 4.4007 7.1062 9.5641 Å, 73.37 76.70 71.96°
Fractional positions:
Mg  0.5000  0.5000  0.5000
Mg  0.3368  0.3276  0.9987
Mg  0.4130  0.9209  0.2531
Mg  0.5870  0.0791  0.7469
Mg  0.6632  0.6724  0.0013
Cd  0.8322  0.8374  0.4983
Cd  0.2470  0.7511  0.7549
Cd  0.7530  0.2489  0.2451
Cd  0.1678  0.1626  0.5017
Cd  0.0000  0.0000  0.0000
In  0.9154  0.4181  0.7510
In  0.0846  0.5819  0.2490

Calculated values
SG: C2/m
E (eV per atom): -1.575
Formation enthalpy at 0 K (eV per atom): -0.07

=====

No. 9
A plane-wave DFT calculation with PBE was carried out for a relaxed structure of Na2SnPd2.

Cell: 6.7863 6.7863 4.8099 Å, 90.00 90.00 90.00°
Fractional positions:
Na  0.1667  0.6667  0.5000
Na  0.6667  0.8333  0.5000
Na  0.8333  0.3333  0.5000
Na  0.3333  0.1667  0.5000
Sn  0.0000  0.0000  0.0000
Sn  0.5000  0.5000  0.0000
Pd  0.3596  0.8596  0.0000
Pd  0.8596  0.6404  0.0000
Pd  0.6404  0.1404  0.0000
Pd  0.1404  0.3596  0.0000

Calculated values
SG: P4/mbm
Polymorph energy (0 for the lowest one) (eV/atom): 0.051
E (eV per atom): -3.693
Formation enthalpy at 0 K (eV per atom): -0.29

=====

No. 10
A plane-wave DFT calculation with PBE was carried out for a relaxed structure of Th2InSe6.

Cell: 6.7239 6.7239 12.9562 Å, 90.00 90.00 90.00°
Fractional positions:
Th  0.5000  0.5000  0.3326
Th  0.5000  0.5000  0.6674
Th  0.0000  0.0000  0.1674
Th  0.0000  0.0000  0.8326
In  0.5000  0.5000  0.0000
In  0.0000  0.0000  0.5000
Se  0.6957  0.6957  0.1582
Se  0.6957  0.6957  0.8418
Se  0.7018  0.7018  0.5000
Se  0.7982  0.2018  0.0000
Se  0.8043  0.1957  0.3418
Se  0.8043  0.1957  0.6582
Se  0.1957  0.8043  0.3418
Se  0.1957  0.8043  0.6582
Se  0.2018  0.7982  0.0000
Se  0.2982  0.2982  0.5000
Se  0.3043  0.3043  0.1582
Se  0.3043  0.3043  0.8418

Calculated values
SG: P4_2/mnm
E (eV per atom): -5.358
Energy relative to the elements, uncorrected (meV/atom): -1082

=====

No. 11
A plane-wave DFT calculation with PBE was carried out for a relaxed structure of TaAlCd.

Cell: 6.9168 6.9168 6.9168 Å, 155.91 155.91 34.32°
Fractional positions:
Cd  0.3344  0.3344  0.0000
Al  0.0084  0.0084  0.0000
Ta  0.6572  0.6572  0.0000

Calculated values
SG: I4mm
Polymorph energy (0 for the lowest one) (eV/atom): 0.004
E (eV per atom): -5.422
Formation enthalpy at 0 K (eV per atom): 0.08

=====

No. 12
A plane-wave DFT calculation with PBE was carried out for a relaxed structure of BaPmB2O6.

Cell: 6.6415 6.6415 7.1037 Å, 103.04 103.04 100.00°
Fractional positions:
Ba  0.1386  0.8614  0.2500
Ba  0.8614  0.1386  0.7500
Pm  0.5897  0.4103  0.2500
Pm  0.4103  0.5897  0.7500
B  0.3821  0.1334  0.7418
B  0.8666  0.6179  0.7582
B  0.6179  0.8666  0.2582
B  0.1334  0.3821  0.2418
O  0.9323  0.4156  0.1999
O  0.5844  0.0677  0.3001
O  0.0677  0.5844  0.8001
O  0.4156  0.9323  0.6999
O  0.1899  0.2199  0.1228
O  0.7801  0.8101  0.3772
O  0.8101  0.7801  0.8772
O  0.2199  0.1899  0.6228
O  0.2953  0.5275  0.3965
O  0.4725  0.7047  0.1035
O  0.7047  0.4725  0.6035
O  0.5275  0.2953  0.8965

Calculated values
SG: C2/c
E (eV per atom): -7.694
Energy relative to the elements, uncorrected (meV/atom): -2716